CoH5CNCl2O2 | PBE+U | optimized geometry

```
data_CoH5CNCl2O2
_cell_length_a 7.5411
_cell_length_b 11.2380
_cell_length_c 6.8069
_cell_angle_alpha 90.00
_cell_angle_beta 107.62
_cell_angle_gamma 90.00
_symmetry_space_group_name_H-M 'C 1 2/c 1'
_symmetry_Int_Tables_number 15
loop_
_symmetry_equiv_pos_as_xyz
'x,y,z'
'-x,-y,-z'
'-x,y,-z+1/2'
'x,-y,z+1/2'
'x+1/2,y+1/2,z'
'-x+1/2,-y+1/2,-z'
'-x+1/2,y+1/2,-z+1/2'
'x+1/2,-y+1/2,z+1/2'
loop_
_atom_site_label
_atom_site_fract_x
_atom_site_fract_y
_atom_site_fract_z
Co1 0.0000 0.0000 0.0000
H1 0.0000 0.3268 0.2500
H2 0.0145 0.2709 0.8805
H3 0.1142 0.3792 0.7712
C1 0.0000 0.2287 0.2500
N1 0.0000 0.3244 0.7500
Cl1 0.2351 0.0425 0.8288
O1 0.0097 0.1783 0.0863
```

## Properties
mass density	2.3	Mg/m³
total magnetization	0.250	μB/atom
total energy	-5.21	eV per atom

ZnCoH22C5N10Cl4O6 | PBE+U | optimized geometry

```
data_ZnCoH22C5N10Cl4O6
_cell_length_a 7.3325
_cell_length_b 11.8126
_cell_length_c 13.2314
_cell_angle_alpha 110.83
_cell_angle_beta 103.05
_cell_angle_gamma 101.84
_symmetry_space_group_name_H-M 'P -1'
_symmetry_Int_Tables_number 2
loop_
_symmetry_equiv_pos_as_xyz
'x,y,z'
'-x,-y,-z'
loop_
_atom_site_label
_atom_site_fract_x
_atom_site_fract_y
_atom_site_fract_z
Zn1 0.0256 0.2727 0.2025
Co1 0.4678 0.7679 0.2473
H1 0.0095 0.4599 0.7362
H2 0.0434 0.9934 0.7503
H3 0.0501 0.0980 0.6863
H4 0.0546 0.6915 0.2644
H5 0.1360 0.9996 0.1280
H6 0.1525 0.7665 0.4786
H7 0.2202 0.5315 0.1106
H8 0.2274 0.6142 0.0405
H9 0.2269 0.8722 0.4217
H10 0.2452 0.5314 0.4306
H11 0.2474 0.8296 0.6735
H12 0.2617 0.3095 0.0234
H13 0.2698 0.2844 0.8848
H14 0.3025 0.9085 0.1228
H15 0.3146 0.5445 0.7257
H16 0.3212 0.2072 0.4079
H17 0.3237 0.1554 0.5179
H18 0.3683 0.9931 0.7660
H19 0.3975 0.8634 0.9412
H20 0.4341 0.6186 0.5635
H21 0.4546 0.2181 0.1235
H22 0.4906 0.4638 0.7330
C1 0.1539 0.9085 0.2342
C2 0.2262 0.3748 0.7366
C3 0.2952 0.9516 0.5958
C4 0.4421 0.2069 0.9631
C5 0.4601 0.6808 0.4392
N1 0.0315 0.9592 0.2864
N2 0.0411 0.3776 0.7259
N3 0.1995 0.8586 0.4897
N4 0.2072 0.9473 0.1593
N5 0.3082 0.9211 0.6851
N6 0.3138 0.2719 0.9581
N7 0.3601 0.4751 0.7423
N8 0.3695 0.2258 0.4925
N9 0.3707 0.6057 0.4815
N10 0.4871 0.8076 0.9414
Cl1 0.0002 0.3701 0.0811
Cl2 0.0673 0.6298 0.6461
Cl3 0.1467 0.9351 0.9017
Cl4 0.3459 0.2829 0.2638
O1 0.2207 0.8273 0.2618
O2 0.2691 0.2765 0.7418
O3 0.3094 0.5996 0.1018
O4 0.3658 0.0661 0.6091
O5 0.3822 0.6603 0.3349
O6 0.4990 0.1585 0.8764
```

## Properties
mass density	2.0	Mg/m³
total magnetization	0.061	μB/atom
total energy	-5.67	eV per atom

CoSiC4Cl3O4 | PBE+U | optimized geometry

```
data_CoSiC4Cl3O4
_cell_length_a 8.3267
_cell_length_b 10.5322
_cell_length_c 11.3277
_cell_angle_alpha 90.00
_cell_angle_beta 99.90
_cell_angle_gamma 90.00
_symmetry_space_group_name_H-M 'P 1 21/c 1'
_symmetry_Int_Tables_number 14
loop_
_symmetry_equiv_pos_as_xyz
'x,y,z'
'-x,-y,-z'
'-x,y+1/2,-z+1/2'
'x,-y+1/2,z+1/2'
loop_
_atom_site_label
_atom_site_fract_x
_atom_site_fract_y
_atom_site_fract_z
Co1 0.2215 0.0309 0.2808
Si1 0.3025 0.1580 0.1411
C1 0.0362 0.1147 0.2467
C2 0.1587 0.5617 0.8960
C3 0.2562 0.5937 0.6835
C4 0.3957 0.0927 0.3738
Cl1 0.1607 0.1363 0.9741
Cl2 0.2922 0.1512 0.6821
Cl3 0.4615 0.6232 0.3799
O1 0.0865 0.6686 0.2740
O2 0.1162 0.6177 0.9723
O3 0.2780 0.6748 0.6196
O4 0.4900 0.6294 0.0629
```

## Properties
mass density	2.1	Mg/m³
total magnetization	0.000	μB/atom
total energy	-6.34	eV per atom